# 1
The following is a PBE calculation of a relaxed structure of NbBPb, from OQMD via LeMat-Bulk.

Cell lengths 4.1980, 4.1980, 4.1980 Å; angles 60.00, 60.00, 60.00 degrees
Positions (direct):
Nb (0.2500, 0.2500, 0.2500)
Pb (0.7500, 0.7500, 0.7500)
B (0.0000, 0.0000, 0.0000)

Results
DFT total energy: -5.82 eV/atom
Excess energy over the best structure of this formula in the dataset: 0.000 eV/f.u.
Symmetry: F-43m, No. 216

=====

# 2
The following is a PBE calculation of a relaxed structure of NbBPb, from OQMD via LeMat-Bulk.

Cell lengths 4.4421, 4.4421, 4.4421 Å; angles 60.00, 60.00, 60.00 degrees
Positions (direct):
B (0.2500, 0.2500, 0.2500)
Pb (0.7500, 0.7500, 0.7500)
Nb (0.0000, 0.0000, 0.0000)

Results
DFT total energy: -5.32 eV/atom
Excess energy over the best structure of this formula in the dataset: 1.509 eV/f.u.
Symmetry: F-43m, No. 216

=====

# 3
The following is a PBE calculation of a relaxed structure of NbB4Pb, from OQMD via LeMat-Bulk.

Cell lengths 3.0916, 3.0916, 8.8115 Å; angles 90.00, 90.00, 120.00 degrees
Positions (direct):
Pb (0.0000, 0.0000, 0.0000)
B (0.3333, 0.6667, 0.3123)
B (0.6667, 0.3333, 0.3123)
B (0.6667, 0.3333, 0.6877)
B (0.3333, 0.6667, 0.6877)
Nb (0.0000, 0.0000, 0.5000)

Results
DFT total energy: -6.80 eV/atom
Excess energy over the best structure of this formula in the dataset: 0.000 eV/f.u.
Symmetry: P6/mmm, No. 191

=====

# 4
The following is a PBE calculation of a relaxed structure of TaNbB2Pd2, from OQMD via LeMat-Bulk.

Cell lengths 3.1139, 7.3535, 7.3535 Å; angles 26.84, 90.00, 90.00 degrees
Positions (direct):
B (0.5000, 0.0302, 0.0302)
B (0.0000, 0.9689, 0.9689)
Pd (0.0000, 0.8040, 0.8040)
Pd (0.5000, 0.1976, 0.1976)
Ta (0.5000, 0.4099, 0.4099)
Nb (0.0000, 0.5895, 0.5895)

Results
DFT total energy: -8.23 eV/atom
Symmetry: Amm2, No. 38

=====

# 5
The following is a PBE calculation of a relaxed structure of NbB4Pt, from OQMD via LeMat-Bulk.

Cell lengths 4.7667, 4.7667, 4.7667 Å; angles 142.28, 115.88, 76.85 degrees
Positions (direct):
Pt (0.5000, 0.5000, 0.0000)
B (0.5871, 0.2720, 0.3152)
B (0.4129, 0.7280, 0.6848)
B (0.0432, 0.7280, 0.3152)
B (0.9568, 0.2720, 0.6848)
Nb (0.0000, 0.0000, 0.0000)

Results
DFT total energy: -7.25 eV/atom
Excess energy over the best structure of this formula in the dataset: 0.029 eV/f.u.
Symmetry: Immm, No. 71

=====

# 6
The following is a PBE calculation of a relaxed structure of NbBPt2, from OQMD via LeMat-Bulk.

Cell lengths 4.3371, 4.3371, 4.3371 Å; angles 60.00, 60.00, 60.00 degrees
Positions (direct):
Pt (0.0000, 0.0000, 0.0000)
Pt (0.7500, 0.7500, 0.7500)
Nb (0.2500, 0.2500, 0.2500)
B (0.5000, 0.5000, 0.5000)

Results
DFT total energy: -7.09 eV/atom
Symmetry: F-43m, No. 216

=====

# 7
The following is a PBE calculation of a relaxed structure of NbB4Pt, from OQMD via LeMat-Bulk.

Cell lengths 3.0655, 3.0655, 7.0184 Å; angles 90.00, 90.00, 120.00 degrees
Positions (direct):
B (0.6667, 0.3333, 0.2586)
B (0.3333, 0.6667, 0.7414)
B (0.6667, 0.3333, 0.7414)
B (0.3333, 0.6667, 0.2586)
Nb (0.0000, 0.0000, 0.5000)
Pt (0.0000, 0.0000, 0.0000)

Results
DFT total energy: -7.26 eV/atom
Excess energy over the best structure of this formula in the dataset: 0.000 eV/f.u.
Symmetry: P6/mmm, No. 191

=====

# 8
The following is a PBE calculation of a relaxed structure of PuNbB, from OQMD via LeMat-Bulk.

Cell lengths 4.1677, 4.1677, 4.1677 Å; angles 60.00, 60.00, 60.00 degrees
Positions (direct):
Nb (0.2500, 0.2500, 0.2500)
Pu (0.0000, 0.0000, 0.0000)
B (0.7500, 0.7500, 0.7500)

Results
DFT total energy: -9.04 eV/atom
Excess energy over the best structure of this formula in the dataset: 3.090 eV/f.u.
Symmetry: F-43m, No. 216

=====

# 9
The following is a PBE calculation of a relaxed structure of PuNbB, from OQMD via LeMat-Bulk.

Cell lengths 4.1615, 4.1615, 4.1615 Å; angles 60.00, 60.00, 60.00 degrees
Last column: magnetic moment on the atom in μB.
Positions (direct):
Nb (0.2500, 0.2500, 0.2500)  0.08
B (0.0000, 0.0000, 0.0000)  -0.04
Pu (0.7500, 0.7500, 0.7500)  4.68

Results
DFT total energy: -10.07 eV/atom
Excess energy over the best structure of this formula in the dataset: 0.000 eV/f.u.
Symmetry: F-43m, No. 216

=====

# 10
The following is a PBE calculation of a relaxed structure of Nb2B2S, from OQMD via LeMat-Bulk.

Cell lengths 6.4204, 6.4204, 3.1533 Å; angles 90.00, 90.00, 152.54 degrees
Positions (direct):
S (0.0000, 0.0000, 0.0000)
Nb (0.3653, 0.6347, 0.5000)
Nb (0.6347, 0.3653, 0.5000)
B (0.7794, 0.2206, 0.0000)
B (0.2206, 0.7794, 0.0000)

Results
DFT total energy: -8.06 eV/atom
Symmetry: Cmmm, No. 65

=====

# 11
The following is a PBE calculation of a relaxed structure of Nb4B3S, from OQMD via LeMat-Bulk.

Cell lengths 3.3112, 3.3112, 22.3413 Å; angles 90.00, 90.00, 120.00 degrees
Positions (direct):
Nb (0.3333, 0.6667, 0.0583)
Nb (0.6667, 0.3333, 0.9417)
Nb (0.0000, 0.0000, 0.3278)
Nb (0.0000, 0.0000, 0.6722)
Nb (0.6667, 0.3333, 0.5583)
Nb (0.0000, 0.0000, 0.8278)
Nb (0.0000, 0.0000, 0.1722)
Nb (0.3333, 0.6667, 0.4417)
B (0.3333, 0.6667, 0.8825)
B (0.6667, 0.3333, 0.3825)
B (0.6667, 0.3333, 0.1175)
B (0.3333, 0.6667, 0.6175)
B (0.0000, 0.0000, 0.0000)
B (0.0000, 0.0000, 0.5000)
S (0.6667, 0.3333, 0.7500)
S (0.3333, 0.6667, 0.2500)

Results
DFT total energy: -8.77 eV/atom
Symmetry: P6_3/mmc, No. 194

=====

# 12
The following is a PBE calculation of a relaxed structure of Nb2B2Sb, from OQMD via LeMat-Bulk.

Cell lengths 3.0477, 14.5345, 3.2766 Å; angles 90.00, 90.00, 90.00 degrees
Positions (direct):
Sb (0.0000, 0.0000, 0.0000)
Sb (0.5000, 0.5000, 0.0000)
Nb (0.2684, 0.8411, 0.5000)
Nb (0.2316, 0.3411, 0.5000)
Nb (0.7684, 0.6589, 0.5000)
Nb (0.7316, 0.1589, 0.5000)
B (0.7344, 0.2792, 0.0000)
B (0.2344, 0.2208, 0.0000)
B (0.2656, 0.7208, 0.0000)
B (0.7656, 0.7792, 0.0000)

Results
DFT total energy: -7.88 eV/atom
Excess energy over the best structure of this formula in the dataset: 0.000 eV/f.u.
Symmetry: Pbam, No. 55